Entry 1:
Sm3GdTc: optimized geometry, PBE.

Results
**Energy of formation from the pure elements**: 0.9 eV/f.u.
**SG**: Pm-3m, No. 221

```
Sm3GdTc
1.0
5.470 0.000 0.000
0.000 5.470 0.000
0.000 0.000 5.470
Gd Sm Tc
1 3 1
direct
0.500 0.500 0.500
0.000 0.000 0.500
0.000 0.500 0.000
0.500 0.000 0.000
0.000 0.000 0.000
```

=====

Entry 2:
CaTiNb2Ni: optimized geometry, PBE.

Results
**Energy of formation from the pure elements**: 4.2 eV/f.u.
**SG**: P4/mmm, No. 123

```
CaTiNb2Ni
1.0
4.748 0.000 0.000
0.000 4.799 0.000
0.000 0.000 4.748
Ni Ti Nb Ca
1 1 2 1
direct
0.000 0.500 0.000
0.000 0.000 0.000
0.500 0.000 0.000
0.000 0.000 0.500
0.500 0.500 0.500
```

=====

Entry 3:
Ce2AlNi4P3: optimized geometry, PBE.

Results
**Energy of formation from the pure elements**: -9.7 eV/f.u.
**SG**: P-4m2, No. 115

```
Ce2AlNi4P3
1.0
-1.552 1.633 -3.260
2.150 -2.451 -2.251
-7.097 -6.388 0.178
Ni Al P Ce
4 1 3 2
direct
0.500 0.000 0.634
0.000 0.500 0.366
0.500 0.500 0.000
0.000 0.000 0.000
0.500 0.500 0.500
0.500 0.000 0.872
0.000 0.000 0.500
0.000 0.500 0.128
0.000 0.500 0.759
0.500 0.000 0.241
```

=====

Entry 4:
SrCaTlGa2: optimized geometry, PBE.

Results
**E above lowest polymorph**: 0.00 kJ per mole of atoms
**Energy of formation from the pure elements**: 1.4 eV/f.u.
**SG**: P4/mmm, No. 123

```
SrCaTlGa2
1.0
-0.345 -1.270 5.411
-1.993 -5.440 -1.404
5.237 -1.891 -0.110
Ga Sr Ca Tl
2 1 1 1
direct
0.500 0.000 0.000
0.000 0.000 0.500
0.000 0.500 0.000
0.500 0.500 0.500
0.000 0.000 0.000
```

=====

Entry 5:
PmNdAlRh: optimized geometry, PBE.

Results
**E above lowest polymorph**: 14.44 kJ per mole of atoms
**Energy of formation from the pure elements**: -1.7 eV/f.u.
**SG**: F-43m, No. 216

```
PmNdAlRh
1.0
-1.157 -5.009 -0.025
-0.484 -2.549 4.438
-4.636 -1.575 1.567
Nd Pm Al Rh
1 1 1 1
direct
0.750 0.750 0.750
0.250 0.250 0.250
0.500 0.500 0.500
0.000 0.000 0.000
```

=====

Entry 6:
TmZrNi: optimized geometry, PBE.

Results
**E above lowest polymorph**: 1.65 kJ per mole of atoms
**Energy of formation from the pure elements**: -0.8 eV/f.u.
**SG**: Fddd, No. 70

```
TmZrNi
1.0
5.565 0.000 0.000
2.782 4.786 0.000
2.782 0.000 9.134
Ni Tm Zr
4 4 4
direct
0.875 0.500 0.251
0.125 0.000 0.751
0.875 0.000 0.249
0.625 0.500 0.749
0.168 0.663 0.000
0.918 0.163 0.500
0.832 0.337 0.000
0.582 0.837 0.500
0.415 0.000 0.170
0.335 0.500 0.330
0.585 0.000 0.830
0.165 0.500 0.670
```